# MgAgCl3

A relaxed MgAgCl3 crystal (PBE, the Alexandria database).

abc: 4.9123 4.9123 4.9123
angles: 90.00 90.00 90.00
Closest atoms and distances in Å follow each position.
Positions (direct):
Cl: 0.0000 0.5000 0.0000  2 Mg 2.46
Cl: 0.5000 0.0000 0.0000  2 Mg 2.46
Ag: 0.5000 0.5000 0.5000  12 Cl 3.47
Mg: 0.0000 0.0000 0.0000  6 Cl 2.46
Cl: 0.0000 0.0000 0.5000  2 Mg 2.46

Space group = Pm-3m (221)
Magnetization = 0.00 μB per formula unit
Volume = 23.7 A^3/atom
VASP energy = -3.046 eV/atom
Uncorrected formation energy = -101.2 kJ per mole of atoms